Material: BiOs2F2
Method: DFT, PBE-GGA
State: optimized geometry

Its density of states at the Fermi level is 4.54 states/eV/f.u. The value obtained for the uncorrected formation energy is 0.20 eV/atom. As for the energy above the lowest structure with this stoichiometry: 0.0 meV per atom.

The space group is I4/mmm (No. 139) and the conventional cell measures 3.4044, 3.4044 and 18.2227 Å, with angles of 90.00, 90.00 and 90.00 degrees. The distinct sites, in fractional coordinates, are Bi at (0.0000, 0.0000, 0.0000), Os at (0.0000, 0.5000, 0.2500) and F at (0.0000, 0.0000, 0.4333).